This record from the Alexandria database describes crystalline Ce2Zn16Pt at its relaxed geometry. The functional is PBE.

Lattice parameters (Å, degrees): 6.8297 6.8297 6.8297 82.69 82.69 82.69
Each line ends with the local moment (μB).
Atoms (fractional coordinates):
Zn1 0.3536 0.8399 0.3536  0.00
Zn2 0.9989 0.5007 0.9989  0.00
Zn3 0.5007 0.9989 0.9989  0.00
Zn4 0.6501 0.1574 0.6501  0.00
Zn5 0.2883 0.7098 0.9990  0.00
Zn6 0.7098 0.2883 0.9990  0.00
Zn7 0.6501 0.6501 0.1574  0.00
Zn8 0.3536 0.3536 0.8399  0.00
Zn9 0.2883 0.9990 0.7098  0.00
Zn10 0.8399 0.3536 0.3536  0.00
Zn11 0.1010 0.1010 0.1010  0.00
Zn12 0.9989 0.9989 0.5007  0.00
Zn13 0.7098 0.9990 0.2883  0.00
Zn14 0.9990 0.2883 0.7098  0.00
Zn15 0.9990 0.7098 0.2883  0.00
Zn16 0.1574 0.6501 0.6501  0.00
Ce1 0.3397 0.3397 0.3397  0.65
Ce2 0.6657 0.6657 0.6657  0.58
Pt1 0.8961 0.8961 0.8961  -0.01

## Properties
- DFT formation energy: -284 meV per atom
- Symmetry: No. 160
- Magnetization: 1.382 μB/cell